# 1
A relaxed La2Tl3PbS6 crystal. Source: Alexandria, functional PBE-GGA.

extended XYZ file:
```
12
Lattice="3.699 -6.419 0.000 3.699 6.419 0.000 -2.441 0.000 7.219" Properties=species:S:1:pos:R:3 pbc="T T T"
La 3.699 4.278 0.000
La 3.699 -4.278 0.000
Tl -1.220 0.000 3.610
Tl 2.479 2.165 3.610
Tl 2.479 -2.165 3.610
Pb 3.699 0.000 0.000
S -0.008 2.195 5.653
S 1.172 0.000 1.569
S -0.008 -2.195 5.653
S 4.965 2.195 1.566
S 3.786 0.000 5.650
S 4.965 -2.195 1.566
```

Properties
Symmetry = C2/m (12)
Magnetization = 0.0 μB per formula unit
Total DFT energy (no corrections) = -4.89 eV per atom


# 2
A relaxed Sm6Ge3BiS2 crystal. Source: Alexandria, functional PBE-GGA.

extended XYZ file:
```
12
Lattice="9.224 -2.096 0.000 9.224 2.096 0.000 -1.991 0.000 8.324" Properties=species:S:1:pos:R:3 pbc="T T T"
Sm -0.460 0.000 2.236
Sm 4.194 0.000 7.570
Sm 5.302 0.000 3.475
Sm 11.155 0.000 4.849
Sm 12.263 0.000 0.754
Sm 16.917 0.000 6.088
Ge 1.376 0.000 6.915
Ge 8.229 0.000 4.162
Ge 15.081 0.000 1.409
Bi 9.224 0.000 0.000
S 2.455 0.000 2.815
S 14.002 0.000 5.509
```

Properties
Symmetry = C2/m (12)
Magnetization = 0.0 μB per formula unit
Total DFT energy (no corrections) = -5.74 eV per atom


# 3
A relaxed ZrZnSb2Te crystal. Source: Alexandria, functional PBE-GGA.

extended XYZ file:
```
5
Lattice="5.111 0.000 0.000 0.000 5.111 0.000 0.000 0.000 5.291" Properties=species:S:1:pos:R:3 pbc="T T T"
Zr 0.000 0.000 0.000
Zn 2.556 2.556 2.645
Sb 0.000 2.556 2.645
Sb 2.556 0.000 2.645
Te 2.556 2.556 0.000
```

Properties
Symmetry = P4/mmm (123)
Magnetization = 0.8 μB per formula unit
Total DFT energy (no corrections) = -3.69 eV per atom


# 4
A relaxed In2P crystal. Source: Alexandria, functional PBE-GGA.

extended XYZ file:
```
3
Lattice="3.760 0.000 0.000 -0.007 3.851 0.000 -0.008 0.000 5.268" Properties=species:S:1:pos:R:3 pbc="T T T"
In 0.000 0.000 0.000
In -0.004 1.925 2.851
P 1.873 3.850 1.941
```

Properties
Energy of formation from the pure elements = 0.3 eV per formula unit
Symmetry = P1 (1)
Magnetization = 0.0 μB per formula unit
Total DFT energy (no corrections) = -3.53 eV per atom


# 5
A relaxed Hg2IrCl crystal. Source: Alexandria, functional PBE-GGA.

extended XYZ file:
```
4
Lattice="1.756 1.014 8.763 -1.756 1.014 8.763 0.000 -2.027 8.763" Properties=species:S:1:pos:R:3 pbc="T T T"
Hg 0.000 0.000 0.000
Hg 0.000 0.000 6.327
Ir 0.000 0.000 19.458
Cl 0.000 0.000 12.086
```

Properties
Symmetry = R3m (160)
Magnetization = 1.7 μB per formula unit
Total DFT energy (no corrections) = -2.38 eV per atom


# 6
A relaxed CsH3Pt crystal. Source: Alexandria, functional PBE-GGA.

extended XYZ file:
```
5
Lattice="4.011 0.000 0.000 0.000 4.011 0.000 0.000 0.000 4.011" Properties=species:S:1:pos:R:3 pbc="T T T"
Cs 0.000 0.000 0.000
H 0.000 2.006 2.006
H 2.006 0.000 2.006
H 2.006 2.006 0.000
Pt 2.006 2.006 2.006
```

Properties
Symmetry = Pm-3m (221)
Magnetization = 0.0 μB per formula unit
Total DFT energy (no corrections) = -3.39 eV per atom


# 7
A relaxed ZrNi4Se crystal. Source: Alexandria, functional PBE-GGA.

extended XYZ file:
```
6
Lattice="0.000 3.450 3.450 3.450 0.000 3.450 3.450 3.450 0.000" Properties=species:S:1:pos:R:3 pbc="T T T"
Zr 0.000 0.000 0.000
Ni 4.317 2.582 2.582
Ni 2.582 4.317 2.582
Ni 2.582 2.582 4.317
Ni 4.317 4.317 4.317
Se 1.725 1.725 1.725
```

Properties
Symmetry = F-43m (216)
Magnetization = 1.3 μB per formula unit
Total DFT energy (no corrections) = -6.07 eV per atom


# 8
A relaxed PmPr6Y2Ho crystal. Source: Alexandria, functional PBE-GGA.

extended XYZ file:
```
20
Lattice="4.754 -7.684 0.000 4.754 7.684 0.000 -1.061 0.000 9.602" Properties=species:S:1:pos:R:3 pbc="T T T"
Pm 3.958 7.168 7.202
Pm 4.488 -7.168 2.401
Pr 1.951 4.271 6.597
Pr 4.099 5.002 0.555
Pr 4.877 5.002 4.246
Pr 2.937 1.733 8.491
Pr 5.965 4.271 7.807
Pr 4.979 1.733 5.912
Pr 3.468 -1.733 3.690
Pr 2.482 -4.271 1.795
Pr 5.509 -1.733 1.111
Pr 3.569 -5.002 5.357
Pr 4.347 -5.002 9.047
Pr 6.495 -4.271 3.006
Y 1.792 0.712 5.289
Y 2.322 -0.712 0.488
Y 6.124 0.712 9.115
Y 6.654 -0.712 4.314
Ho 4.488 1.362 2.401
Ho 3.958 -1.362 7.202
```

Properties
Energy of formation from the pure elements = 1.1 eV per formula unit
Symmetry = C2/c (15)
Magnetization = 0.0 μB per formula unit
Total DFT energy (no corrections) = -4.98 eV per atom


# 9
A relaxed ScCr2Pt crystal. Source: Alexandria, functional PBE-GGA.

extended XYZ file:
```
4
Lattice="2.572 -4.293 0.000 2.572 4.293 0.000 0.000 0.000 2.676" Properties=species:S:1:pos:R:3 pbc="T T T"
Sc 0.000 0.000 0.000
Cr 1.286 2.147 1.338
Cr 1.286 -2.147 1.338
Pt 2.572 0.000 0.000
```

Properties
Energy of formation from the pure elements = 0.6 eV per formula unit
Symmetry = Cmmm (65)
Magnetization = 0.0 μB per formula unit
Total DFT energy (no corrections) = -7.76 eV per atom


# 10
A relaxed YGa4Ge crystal. Source: Alexandria, functional PBE-GGA.

extended XYZ file:
```
12
Lattice="-2.602 2.602 9.836 2.602 -2.602 9.836 2.602 2.602 -9.836" Properties=species:S:1:pos:R:3 pbc="T T T"
Y 2.602 1.301 2.459
Y 0.000 1.301 7.377
Ga 1.340 1.301 -0.337
Ga 3.865 1.301 -0.337
Ga 0.000 0.039 4.581
Ga 2.602 0.039 5.255
Ga 0.000 2.563 4.581
Ga 2.602 2.563 5.255
Ga -1.262 1.301 10.173
Ga 1.262 1.301 10.173
Ge 2.602 -1.301 7.377
Ge 0.000 3.903 2.459
```

Properties
Energy of formation from the pure elements = -0.5 eV per formula unit
Symmetry = I4_1/amd (141)
Magnetization = 0.0 μB per formula unit
Total DFT energy (no corrections) = -3.95 eV per atom


# 11
A relaxed CrFe2NiH crystal. Source: Alexandria, functional PBE-GGA.

extended XYZ file:
```
5
Lattice="3.600 0.000 0.000 0.000 3.600 0.000 0.000 0.000 3.465" Properties=species:S:1:pos:R:3 pbc="T T T"
Cr 0.000 0.000 0.000
Fe 0.000 1.800 1.732
Fe 1.800 0.000 1.732
Ni 1.800 1.800 0.000
H 1.800 1.800 1.732
```

Properties
Symmetry = P4/mmm (123)
Magnetization = 0.9 μB per formula unit
Total DFT energy (no corrections) = -7.03 eV per atom


# 12
A relaxed CeCo3B2 crystal. Source: Alexandria, functional PBE-GGA.

extended XYZ file:
```
18
Lattice="8.521 0.000 0.000 -4.260 7.379 0.000 0.000 0.000 3.268" Properties=species:S:1:pos:R:3 pbc="T T T"
Ce 0.000 0.000 0.000
Ce 0.000 4.919 1.634
Ce 4.260 2.460 1.634
Co -1.209 2.094 1.634
Co -2.130 3.690 0.000
Co -3.052 5.285 1.634
Co 2.418 0.000 1.634
Co 1.209 2.094 1.634
Co 4.260 0.000 0.000
Co 2.130 3.690 0.000
Co 6.103 0.000 1.634
Co 3.052 5.285 1.634
B 0.000 2.752 0.000
B -1.877 6.003 0.000
B 2.383 1.376 0.000
B 1.877 6.003 0.000
B 6.138 1.376 0.000
B 4.260 4.627 0.000
```

Properties
Energy of formation from the pure elements = -1.5 eV per formula unit
Symmetry = P6/mmm (191)
Magnetization = 2.1 μB per formula unit
Total DFT energy (no corrections) = -7.02 eV per atom


# 13
A relaxed HWSeBr2 crystal. Source: Alexandria, functional PBE-GGA.

extended XYZ file:
```
5
Lattice="5.229 0.000 0.000 0.000 5.229 0.000 0.000 0.000 4.835" Properties=species:S:1:pos:R:3 pbc="T T T"
H 0.000 0.000 0.000
W 2.614 2.614 2.417
Se 2.614 2.614 0.000
Br 0.000 2.614 2.417
Br 2.614 0.000 2.417
```

Properties
Symmetry = P4/mmm (123)
Magnetization = 2.0 μB per formula unit
Total DFT energy (no corrections) = -4.10 eV per atom